--- a ---
The following is a PBEsol calculation of Cr5Mo after structural relaxation, from Alexandria via LeMat-Bulk.

```
data_Cr5Mo
_cell_length_a 4.606
_cell_length_b 4.606
_cell_length_c 4.083
_cell_angle_alpha 90.00
_cell_angle_beta 90.00
_cell_angle_gamma 120.00
_symmetry_space_group_name_H-M 'P 1'
_symmetry_Int_Tables_number 1
loop_
_symmetry_equiv_pos_as_xyz
'x,y,z'
loop_
_atom_site_label
_atom_site_type_symbol
_atom_site_fract_x
_atom_site_fract_y
_atom_site_fract_z
Cr1 Cr 0.000 0.500 0.000
Cr2 Cr 0.333 0.667 0.500
Cr3 Cr 0.500 0.000 0.000
Cr4 Cr 0.500 0.500 0.000
Cr5 Cr 0.667 0.333 0.500
Mo1 Mo 0.000 0.000 0.500
```

Results
- Crystal system: hexagonal
- Symmetry: P6/mmm (191)
- Magnetization: 0.00 μB per atom


--- b ---
The following is a PBEsol calculation of Cr5Mo after structural relaxation, from Alexandria via LeMat-Bulk.

```
data_Cr5Mo
_cell_length_a 2.881
_cell_length_b 12.177
_cell_length_c 4.063
_cell_angle_alpha 90.00
_cell_angle_beta 90.00
_cell_angle_gamma 90.00
_symmetry_space_group_name_H-M 'P 1'
_symmetry_Int_Tables_number 1
loop_
_symmetry_equiv_pos_as_xyz
'x,y,z'
loop_
_atom_site_label
_atom_site_type_symbol
_atom_site_fract_x
_atom_site_fract_y
_atom_site_fract_z
Cr1 Cr 0.000 0.000 0.000
Cr2 Cr 0.000 0.172 0.500
Cr3 Cr 0.000 0.330 0.000
Cr4 Cr 0.000 0.670 0.000
Cr5 Cr 0.000 0.828 0.500
Cr6 Cr 0.500 0.170 0.000
Cr7 Cr 0.500 0.328 0.500
Cr8 Cr 0.500 0.500 0.000
Cr9 Cr 0.500 0.672 0.500
Cr10 Cr 0.500 0.830 0.000
Mo1 Mo 0.000 0.500 0.500
Mo2 Mo 0.500 0.000 0.500
```

Results
- Crystal system: orthorhombic
- Symmetry: Cmmm (65)
- Magnetization: 0.00 μB per atom


Relative energies with respect to the most stable structure, expressed in meV/atom: a 327; b 0.